Computed, not measured: a geometry-optimized Np2Tl3HS6 structure at the PBE level of DFT.

Unit cell a=9.301 b=9.301 c=9.483 alpha=93.27 beta=93.27 gamma=24.46
Fractional coordinates of all 12 atoms:
Np  0.192  0.192  0.340
Np  0.808  0.808  0.660
Tl  0.091  0.091  0.960
Tl  0.500  0.500  0.500
Tl  0.909  0.909  0.040
H  0.500  0.500  0.000
S  0.058  0.058  0.278
S  0.281  0.281  0.828
S  0.327  0.327  0.472
S  0.673  0.673  0.528
S  0.719  0.719  0.172
S  0.942  0.942  0.722

Its total energy is -5.714 eV/atom.



Computed, not measured: a geometry-optimized Fe3CBr structure at the PBE level of DFT.

Unit cell a=3.949 b=3.949 c=3.949 alpha=90.00 beta=90.00 gamma=90.00
Fractional coordinates of all 5 atoms:
Fe  0.000  0.000  0.500
Fe  0.000  0.500  0.000
Fe  0.500  0.000  0.000
C  0.000  0.000  0.000
Br  0.500  0.500  0.500

Its uncorrected formation energy is 567 meV/atom.



Number 1: theoretical density 6.27 g cm⁻³. Number 2: theoretical density 7.00 g cm⁻³.